No. 1
Here is a geometry-optimized CaTiMo3 structure from Alexandria. Energies are from GGA-PBE.

a = 4.6106 Å, b = 4.6106 Å, c = 4.6106 Å
α = 90.00°, β = 90.00°, γ = 90.00°
With the nearest neighbours (Å) after each atom.
Space group Pm-3m (No. 221)
Inequivalent atoms, fractional coordinates:
Ca (0.0000, 0.0000, 0.0000) (multiplicity 1)  6 Mo 2.31
Ti (0.5000, 0.5000, 0.5000) (multiplicity 1)  12 Mo 3.26
Mo (0.0000, 0.0000, 0.5000) (multiplicity 3)  2 Ca 2.31

Values from the calculation:
- Crystal system: cubic
- Calculated volume: 19.6 A^3/atom
- Density of states at the Fermi level: 9.4 states/eV/f.u.
- ΔE to the lowest computed polymorph: 6.15 eV per formula unit
- Formation enthalpy at 0 K: 2.460 eV per atom

No. 2
Here is a geometry-optimized CaTi2Mo structure from Alexandria. Energies are from GGA-PBE.

a = 6.7153 Å, b = 6.7153 Å, c = 6.7153 Å
α = 90.00°, β = 90.00°, γ = 90.00°
With the nearest neighbours (Å) after each atom.
Space group Fm-3m (No. 225)
Inequivalent atoms, fractional coordinates:
Ca (0.0000, 0.0000, 0.0000) (multiplicity 4)  8 Ti 2.91
Ti (0.2500, 0.2500, 0.2500) (multiplicity 8)  4 Mo 2.91, 4 Ca 2.91
Mo (0.0000, 0.0000, 0.5000) (multiplicity 4)  8 Ti 2.91

Values from the calculation:
- Crystal system: cubic
- Calculated volume: 18.9 A^3/atom
- Density of states at the Fermi level: 7.4 states/eV/f.u.
- ΔE to the lowest computed polymorph: 0.00 eV per formula unit
- Formation enthalpy at 0 K: 0.460 eV per atom